# Li2GaMoO4 PBE with a Hubbard U optimized geometry
data_Li2GaMoO4
_symmetry_space_group_name_H-M 'P 1'
_symmetry_Int_Tables_number 1
_cell_length_a 5.387
_cell_length_b 5.387
_cell_length_c 5.387
_cell_angle_alpha 133.66
_cell_angle_beta 133.66
_cell_angle_gamma 67.61
loop_
_symmetry_equiv_pos_as_xyz
'x,y,z'
loop_
_atom_site_label
_atom_site_type_symbol
_atom_site_fract_x
_atom_site_fract_y
_atom_site_fract_z
Li1 Li 0.000 0.000 0.000
Li2 Li 0.750 0.250 0.500
Ga1 Ga 0.500 0.500 0.000
Mo1 Mo 0.250 0.750 0.500
O1 O 0.008 0.508 0.500
O2 O 0.279 0.279 0.000
O3 O 0.492 0.992 0.500
O4 O 0.721 0.721 0.000
# Symmetry: I-4m2, No. 119
# M_tot, μB/cell: 3.00
# V, Å³/atom: 10.05
# Total energy, eV per atom: -6.048